# 1
A plane-wave DFT calculation with GGA-PBE was carried out for a geometry-optimized CaTm5Tl3 structure.

Geometry as extended XYZ:
```
18
Lattice="9.253 0.000 0.000 -4.626 8.013 0.000 0.000 0.000 6.732" Properties=species:S:1:pos:R:3 pbc="T T T"
Ca 0.000 0.000 0.000
Ca 0.000 0.000 3.366
Tm -1.563 2.708 1.683
Tm -3.063 5.305 5.049
Tm 0.000 5.342 0.000
Tm 0.000 5.342 3.366
Tm 3.127 0.000 1.683
Tm 1.563 2.708 5.049
Tm 6.126 0.000 5.049
Tm 3.063 5.305 1.683
Tm 4.626 2.671 0.000
Tm 4.626 2.671 3.366
Tl -1.528 2.647 5.049
Tl -3.098 5.366 1.683
Tl 3.056 0.000 5.049
Tl 1.528 2.647 1.683
Tl 6.196 0.000 1.683
Tl 3.098 5.366 5.049
```


# 2
A plane-wave DFT calculation with GGA-PBE was carried out for a geometry-optimized Dy2Al3SiPt4 structure.

Geometry as extended XYZ:
```
10
Lattice="4.143 0.000 0.000 0.000 4.143 0.000 0.000 0.000 10.547" Properties=species:S:1:pos:R:3 pbc="T T T"
Dy 0.000 2.071 2.536
Dy 2.071 0.000 8.011
Al 0.000 0.000 0.000
Al 0.000 2.071 6.701
Al 2.071 0.000 3.846
Si 2.071 2.071 0.000
Pt 0.000 0.000 5.273
Pt 0.000 2.071 9.159
Pt 2.071 0.000 1.388
Pt 2.071 2.071 5.273
```


# 3
A plane-wave DFT calculation with GGA-PBE was carried out for a geometry-optimized NaSrTl14 structure.

Geometry as extended XYZ:
```
16
Lattice="10.962 0.000 0.000 0.000 4.042 5.565 0.000 -4.042 5.565" Properties=species:S:1:pos:R:3 pbc="T T T"
Na 0.000 0.000 0.000
Sr 0.000 0.000 6.151
Tl 0.000 -1.682 3.078
Tl 0.000 1.682 3.078
Tl 2.665 0.000 8.944
Tl 2.736 -2.251 6.363
Tl 2.736 2.251 6.363
Tl 2.853 0.000 3.763
Tl 5.481 0.000 0.395
Tl 5.481 -1.993 3.273
Tl 5.481 1.993 3.273
Tl 5.481 0.000 6.159
Tl 8.109 0.000 3.763
Tl 8.226 -2.251 6.363
Tl 8.226 2.251 6.363
Tl 8.297 0.000 8.944
```


# 4
A plane-wave DFT calculation with GGA-PBE was carried out for a geometry-optimized BeInAg2 structure.

Geometry as extended XYZ:
```
4
Lattice="2.882 -2.892 0.000 2.882 2.892 0.000 -2.837 0.000 4.070" Properties=species:S:1:pos:R:3 pbc="T T T"
Be 0.000 0.000 0.000
In 1.463 -1.449 2.035
Ag 1.463 1.454 2.035
Ag 2.882 -0.001 0.000
```


Number 1: total magnetization 0.0 μB per cell, total DFT energy (no corrections) -33.8 eV/f.u.. Number 2: total magnetization 0.0 μB per cell, total DFT energy (no corrections) -61.2 eV/f.u.. Number 3: total magnetization 0.0 μB per cell, total DFT energy (no corrections) -37.2 eV/f.u.. Number 4: total magnetization 0.0 μB per cell, total DFT energy (no corrections) -11.2 eV/f.u..